Below is a relaxed structure of HgTe3, with properties calculated at the PBE level.

Properties
Density of states at the Fermi level ... 0.91 states/eV/atom
Crystal system ... tetragonal
E ... -2.1743 eV per atom

Geometry as POSCAR:
```
HgTe3
1.0
-5.4076 -0.2488 -0.0914
0.1235 -0.7131 -5.3655
0.1663 -3.8009 0.5090
Hg Te
1 3
Direct
0.0000 0.0000 0.0000
0.0000 0.5000 0.5000
0.5000 0.0000 0.5000
0.5000 0.5000 0.0000
```